(P)
First-principles (GGA-PBE) data for crystalline SrDyAl2 at its relaxed geometry, as listed in the Alexandria database.

Results
- spin magnetization (μB per cell) = 0.0

abc: 3.7549 3.7549 7.5787
angles: 90.00 90.00 90.00
Fractional coordinates of all 4 atoms:
Sr (0.5000, 0.5000, 0.5000)
Al (0.0000, 0.0000, 0.7863)
Al (0.0000, 0.0000, 0.2137)
Dy (0.5000, 0.5000, 0.0000)

(Q)
First-principles (GGA-PBE) data for crystalline SrDyAl2 at its relaxed geometry, as listed in the Alexandria database.

Results
- spin magnetization (μB per cell) = 0.0

abc: 5.3166 5.3166 5.3166
angles: 60.00 60.00 60.00
Fractional coordinates of all 4 atoms:
Sr (0.0000, 0.0000, 0.0000)
Al (0.2500, 0.2500, 0.2500)
Al (0.7500, 0.7500, 0.7500)
Dy (0.5000, 0.5000, 0.5000)

Quick one: least stable of them? (Q)

(P)
First-principles (GGA-PBE) data for crystalline SrDy2Al at its relaxed geometry, as listed in the Alexandria database.

Results
- spin magnetization (μB per cell) = 0.0

abc: 3.6684 3.6684 9.5583
angles: 90.00 90.00 90.00
Fractional coordinates of all 4 atoms:
Sr (0.5000, 0.5000, 0.5000)
Al (0.5000, 0.5000, 0.0000)
Dy (0.0000, 0.0000, 0.8182)
Dy (0.0000, 0.0000, 0.1818)

(Q)
First-principles (GGA-PBE) data for crystalline SrDy2Al at its relaxed geometry, as listed in the Alexandria database.

Results
- spin magnetization (μB per cell) = 0.0

abc: 3.6451 3.6451 11.7411
angles: 81.07 81.07 60.00
Fractional coordinates of all 4 atoms:
Sr (0.0000, 0.0000, 0.0000)
Al (0.5000, 0.5000, 0.5000)
Dy (0.1040, 0.1040, 0.6881)
Dy (0.8960, 0.8960, 0.3119)

Quick one: least stable of them? (Q)

(P)
First-principles (GGA-PBE) data for crystalline TbDy8Al2 at its relaxed geometry, as listed in the Alexandria database.

Results
- spin magnetization (μB per cell) = 0.0

abc: 5.1725 8.1954 8.6022
angles: 112.93 107.50 90.00
Fractional coordinates of all 11 atoms:
Tb (0.5000, 0.0000, 0.0000)
Dy (0.6103, 0.4711, 0.2206)
Dy (0.3121, 0.0483, 0.6241)
Dy (0.1531, 0.2211, 0.3062)
Dy (0.0558, 0.7338, 0.1116)
Dy (0.8469, 0.7789, 0.6938)
Dy (0.6879, 0.9517, 0.3759)
Dy (0.3897, 0.5289, 0.7794)
Dy (0.9442, 0.2662, 0.8884)
Al (0.2240, 0.6418, 0.4480)
Al (0.7760, 0.3582, 0.5520)

(Q)
First-principles (GGA-PBE) data for crystalline TbDy8Al2 at its relaxed geometry, as listed in the Alexandria database.

Results
- spin magnetization (μB per cell) = 0.0

abc: 5.5775 8.5243 8.5243
angles: 118.13 101.67 101.67
Fractional coordinates of all 11 atoms:
Tb (0.5000, 0.0000, 0.0000)
Dy (0.8875, 0.9118, 0.6745)
Dy (0.8875, 0.6745, 0.9118)
Dy (0.2954, 0.5961, 0.5961)
Dy (0.5000, 0.7763, 0.2237)
Dy (0.5000, 0.2237, 0.7763)
Dy (0.7046, 0.4039, 0.4039)
Dy (0.1125, 0.3255, 0.0882)
Dy (0.1125, 0.0882, 0.3255)
Al (0.0000, 0.3079, 0.6921)
Al (0.0000, 0.6921, 0.3079)

Quick one: least stable of them? (Q)

(P)
First-principles (GGA-PBE) data for crystalline TbDyAl at its relaxed geometry, as listed in the Alexandria database.

Results
- spin magnetization (μB per cell) = 0.0

abc: 3.4468 3.4468 7.1682
angles: 103.91 103.91 90.00
Fractional coordinates of all 3 atoms:
Tb (0.2653, 0.2653, 0.5307)
Al (0.6162, 0.6162, 0.2323)
Dy (0.9685, 0.9685, 0.9370)

(Q)
First-principles (GGA-PBE) data for crystalline TbDyAl at its relaxed geometry, as listed in the Alexandria database.

Results
- spin magnetization (μB per cell) = 0.8

abc: 4.5513 4.5513 8.0649
angles: 89.91 90.09 90.00
Site moments in Bohr magnetons follow the coordinates.
Fractional coordinates of all 6 atoms:
Tb (0.7509, 0.2491, 0.3567)  0.11
Tb (0.2491, 0.7509, 0.6433)  0.11
Dy (0.7500, 0.7500, 0.0000)  0.14
Dy (0.2500, 0.2500, 0.0000)  0.14
Al (0.2510, 0.7490, 0.2652)  0.00
Al (0.7490, 0.2510, 0.7348)  0.00

(R)
First-principles (GGA-PBE) data for crystalline TbDyAl at its relaxed geometry, as listed in the Alexandria database.

Results
- spin magnetization (μB per cell) = 0.0

abc: 8.1571 8.1571 3.4676
angles: 90.02 102.27 155.44
Fractional coordinates of all 3 atoms:
Tb (0.9188, 0.2344, 0.1532)
Dy (0.3338, 0.0266, 0.3604)
Al (0.4625, 0.4633, 0.9258)

(S)
First-principles (GGA-PBE) data for crystalline TbDyAl at its relaxed geometry, as listed in the Alexandria database.

Results
- spin magnetization (μB per cell) = 0.0

abc: 3.5641 5.0686 5.0686
angles: 120.00 90.00 90.00
Fractional coordinates of all 3 atoms:
Tb (0.9497, 0.0000, 0.0000)
Al (0.6615, 0.6667, 0.3333)
Dy (0.3888, 0.3333, 0.6667)

Quick one: least stable of them? (R)

(P)
First-principles (GGA-PBE) data for crystalline Tb2DyAl6 at its relaxed geometry, as listed in the Alexandria database.

Results
- spin magnetization (μB per cell) = 0.0

abc: 3.4956 7.9140 7.9141
angles: 120.00 90.00 90.00
Fractional coordinates of all 9 atoms:
Tb (0.0000, 0.3333, 0.6667)
Tb (0.0000, 0.6667, 0.3333)
Dy (0.0000, 0.0000, 0.0000)
Al (0.5000, 0.3331, 0.3331)
Al (0.5000, 0.6669, 0.6669)
Al (0.5000, 0.0000, 0.6669)
Al (0.5000, 0.6669, 0.0000)
Al (0.5000, 0.3331, 0.0000)
Al (0.5000, 0.0000, 0.3331)

(Q)
First-principles (GGA-PBE) data for crystalline Tb2DyAl6 at its relaxed geometry, as listed in the Alexandria database.

Results
- spin magnetization (μB per cell) = 0.0

abc: 3.4614 8.4948 8.4948
angles: 55.38 78.24 78.24
Fractional coordinates of all 9 atoms:
Tb (0.3486, 0.1514, 0.1514)
Tb (0.6514, 0.8486, 0.8486)
Dy (0.5000, 0.5000, 0.5000)
Al (0.1603, 0.5103, 0.1690)
Al (0.8397, 0.4897, 0.8310)
Al (0.8397, 0.8310, 0.4897)
Al (0.0000, 0.1712, 0.8288)
Al (0.0000, 0.8288, 0.1712)
Al (0.1603, 0.1690, 0.5103)

Quick one: least stable of them? (Q)

(P)
First-principles (GGA-PBE) data for crystalline Tb2Dy2Al at its relaxed geometry, as listed in the Alexandria database.

Results
- spin magnetization (μB per cell) = 0.0

abc: 3.7084 6.5281 6.5032
angles: 84.87 73.43 73.50
Fractional coordinates of all 5 atoms:
Tb (0.4158, 0.3563, 0.8122)
Tb (0.5842, 0.6437, 0.1878)
Dy (0.7674, 0.8180, 0.6473)
Dy (0.2326, 0.1820, 0.3527)
Al (0.0000, 0.0000, 0.0000)

(Q)
First-principles (GGA-PBE) data for crystalline Tb2Dy2Al at its relaxed geometry, as listed in the Alexandria database.

Results
- spin magnetization (μB per cell) = 0.0

abc: 4.2414 4.2414 9.1961
angles: 103.33 103.33 90.00
Fractional coordinates of all 5 atoms:
Tb (0.7500, 0.2500, 0.5000)
Tb (0.2500, 0.7500, 0.5000)
Dy (0.4129, 0.4129, 0.8258)
Dy (0.5871, 0.5871, 0.1742)
Al (0.0000, 0.0000, 0.0000)

Quick one: least stable of them? (Q)

(P)
First-principles (GGA-PBE) data for crystalline TbDy2Al2 at its relaxed geometry, as listed in the Alexandria database.

Results
- spin magnetization (μB per cell) = 0.0

abc: 3.6007 5.6025 13.3969
angles: 96.11 90.00 90.00
Fractional coordinates of all 10 atoms:
Tb (0.2500, 0.6831, 0.2353)
Tb (0.7500, 0.3169, 0.7647)
Dy (0.2500, 0.8466, 0.8880)
Dy (0.7500, 0.1534, 0.1120)
Dy (0.2500, 0.2594, 0.5384)
Dy (0.7500, 0.7406, 0.4616)
Al (0.2500, 0.7923, 0.6591)
Al (0.7500, 0.2077, 0.3409)
Al (0.2500, 0.3503, 0.9564)
Al (0.7500, 0.6497, 0.0436)

(Q)
First-principles (GGA-PBE) data for crystalline TbDy2Al2 at its relaxed geometry, as listed in the Alexandria database.

Results
- spin magnetization (μB per cell) = 0.0

abc: 3.6429 5.1505 13.5199
angles: 90.00 97.75 90.00
Fractional coordinates of all 10 atoms:
Tb (0.8561, 0.7500, 0.7099)
Tb (0.1439, 0.2500, 0.2901)
Dy (0.0468, 0.7500, 0.0937)
Dy (0.9532, 0.2500, 0.9063)
Dy (0.2330, 0.7500, 0.4669)
Dy (0.7670, 0.2500, 0.5331)
Al (0.6402, 0.7500, 0.2815)
Al (0.3598, 0.2500, 0.7185)
Al (0.4508, 0.7500, 0.9017)
Al (0.5492, 0.2500, 0.0983)

Quick one: least stable of them? (P)

(P)
First-principles (GGA-PBE) data for crystalline TbDy4Al at its relaxed geometry, as listed in the Alexandria database.

Results
- spin magnetization (μB per cell) = 0.0

abc: 6.2258 8.9386 8.1588
angles: 113.65 99.85 112.59
Fractional coordinates of all 12 atoms:
Tb (0.3421, 0.5921, 0.1841)
Tb (0.6579, 0.4079, 0.8159)
Dy (0.0394, 0.1627, 0.7666)
Dy (0.7606, 0.7161, 0.6310)
Dy (0.2272, 0.6039, 0.7666)
Dy (0.3704, 0.9149, 0.6310)
Dy (0.6296, 0.0851, 0.3690)
Dy (0.7728, 0.3961, 0.2334)
Dy (0.2394, 0.2839, 0.3690)
Dy (0.9606, 0.8373, 0.2334)
Al (0.2495, 0.9995, 0.9989)
Al (0.7505, 0.0005, 0.0011)

(Q)
First-principles (GGA-PBE) data for crystalline TbDy4Al at its relaxed geometry, as listed in the Alexandria database.

Results
- spin magnetization (μB per cell) = 0.0

abc: 3.5296 3.5296 14.0044
angles: 90.00 90.00 90.00
Fractional coordinates of all 6 atoms:
Tb (0.0000, 0.0000, 0.0000)
Dy (0.5000, 0.5000, 0.1803)
Dy (0.0000, 0.0000, 0.6360)
Dy (0.0000, 0.0000, 0.3640)
Dy (0.5000, 0.5000, 0.8197)
Al (0.5000, 0.5000, 0.5000)

Quick one: least stable of them? (P)

(P)
First-principles (GGA-PBE) data for crystalline Tb3DyAl at its relaxed geometry, as listed in the Alexandria database.

Results
- spin magnetization (μB per cell) = 0.8

abc: 3.6048 6.7118 12.4526
angles: 85.00 90.00 74.41
Site moments in Bohr magnetons follow the coordinates.
Fractional coordinates of all 10 atoms:
Tb (0.1416, 0.7166, 0.4487)  0.02
Tb (0.3648, 0.2712, 0.0195)  0.10
Tb (0.0341, 0.9317, 0.1953)  0.13
Tb (0.8584, 0.2834, 0.5513)  0.02
Tb (0.9659, 0.0683, 0.8047)  0.13
Tb (0.6352, 0.7288, 0.9805)  0.10
Dy (0.2221, 0.5557, 0.7475)  0.03
Dy (0.7779, 0.4443, 0.2525)  0.03
Al (0.5511, 0.8978, 0.6207)  0.00
Al (0.4489, 0.1022, 0.3793)  0.00

(Q)
First-principles (GGA-PBE) data for crystalline Tb3DyAl at its relaxed geometry, as listed in the Alexandria database.

Results
- spin magnetization (μB per cell) = 0.0

abc: 5.1993 9.2341 5.6339
angles: 145.04 90.00 90.00
Fractional coordinates of all 5 atoms:
Tb (0.0000, 0.3517, 0.3386)
Tb (0.0000, 0.9870, 0.3386)
Tb (0.5000, 0.4323, 0.8645)
Dy (0.5000, 0.9104, 0.8209)
Al (0.0000, 0.6733, 0.3465)

Quick one: least stable of them? (Q)

(P)
First-principles (GGA-PBE) data for crystalline Tb6DyAl2 at its relaxed geometry, as listed in the Alexandria database.

Results
- spin magnetization (μB per cell) = 0.0

abc: 3.6852 6.5544 11.5418
angles: 75.62 80.81 73.67
Fractional coordinates of all 9 atoms:
Tb (0.6876, 0.5007, 0.1241)
Tb (0.3124, 0.4993, 0.8759)
Tb (0.3111, 0.7900, 0.5879)
Tb (0.9780, 0.7152, 0.3288)
Tb (0.0220, 0.2848, 0.6712)
Tb (0.6889, 0.2100, 0.4121)
Dy (0.0000, 0.0000, 0.0000)
Al (0.3519, 0.0924, 0.2037)
Al (0.6481, 0.9076, 0.7963)

(Q)
First-principles (GGA-PBE) data for crystalline Tb6DyAl2 at its relaxed geometry, as listed in the Alexandria database.

Results
- spin magnetization (μB per cell) = 0.0

abc: 4.7757 4.7757 14.2754
angles: 99.63 99.63 90.00
Fractional coordinates of all 9 atoms:
Tb (0.8502, 0.3554, 0.2055)
Tb (0.6446, 0.6446, 0.7945)
Tb (0.3554, 0.8502, 0.2055)
Tb (0.1498, 0.1498, 0.7945)
Tb (0.7500, 0.2500, 0.5000)
Tb (0.2500, 0.7500, 0.5000)
Dy (0.5000, 0.5000, 0.0000)
Al (0.1851, 0.1851, 0.3701)
Al (0.8149, 0.8149, 0.6299)

Quick one: least stable of them? (Q)

(P)
First-principles (GGA-PBE) data for crystalline TbDy2Al9 at its relaxed geometry, as listed in the Alexandria database.

Results
- spin magnetization (μB per cell) = 0.0

abc: 4.2624 4.2624 12.7865
angles: 90.00 90.00 90.00
Fractional coordinates of all 12 atoms:
Tb (0.0000, 0.0000, 0.0000)
Dy (0.0000, 0.0000, 0.3337)
Dy (0.0000, 0.0000, 0.6663)
Al (0.5000, 0.5000, 0.0000)
Al (0.5000, 0.5000, 0.3335)
Al (0.5000, 0.5000, 0.6665)
Al (0.5000, 0.0000, 0.1673)
Al (0.5000, 0.0000, 0.5000)
Al (0.5000, 0.0000, 0.8327)
Al (0.0000, 0.5000, 0.1673)
Al (0.0000, 0.5000, 0.5000)
Al (0.0000, 0.5000, 0.8327)

(Q)
First-principles (GGA-PBE) data for crystalline TbDy2Al9 at its relaxed geometry, as listed in the Alexandria database.

Results
- spin magnetization (μB per cell) = 0.0

abc: 5.5715 5.5715 9.3282
angles: 72.62 72.62 60.00
Fractional coordinates of all 12 atoms:
Tb (0.0000, 0.0000, 0.0000)
Dy (0.8579, 0.8579, 0.4263)
Dy (0.1421, 0.1421, 0.5737)
Al (0.6646, 0.6646, 0.0062)
Al (0.3354, 0.3354, 0.9938)
Al (0.5000, 0.5000, 0.5000)
Al (0.4128, 0.4128, 0.2506)
Al (0.9239, 0.4128, 0.2506)
Al (0.4128, 0.9239, 0.2506)
Al (0.5872, 0.5872, 0.7494)
Al (0.5872, 0.0761, 0.7494)
Al (0.0761, 0.5872, 0.7494)

Quick one: least stable of them? (Q)